Material: Li4ZnAg7
Method: DFT, PBE
State: relaxed

Lattice parameters (Å, degrees): 4.9766 5.7003 7.6834 74.31 71.75 87.51
With the nearest neighbours (Å) after each atom.
Space group P-1 (No. 2)
Asymmetric unit:
Li 0.1684 0.1662 0.3336 [2 per cell]  8 Ag 2.76-2.96, 3 Li 2.80-2.97, 1 Zn 2.95
Li 0.3221 0.5765 0.6713 [2 per cell]  9 Ag 2.76-2.94, 3 Li 2.80-3.00
Zn 0.5000 0.0000 0.0000 [1 per cell]  10 Ag 2.76-2.97, 2 Li 2.95
Ag 0.0098 0.2473 0.0031 [2 per cell]  3 Li 2.76-2.94, 2 Zn 2.76-2.97, 7 Ag 2.84-3.01
Ag 0.1711 0.6676 0.3345 [2 per cell]  1 Zn 2.81, 6 Li 2.82-2.95, 5 Ag 2.82-2.96
Ag 0.3452 0.0841 0.6587 [2 per cell]  6 Li 2.76-2.96, 5 Ag 2.83-3.01, 1 Zn 2.87
Ag 0.5000 0.5000 0.0000 [1 per cell]  4 Li 2.81-2.85, 2 Zn 2.85, 6 Ag 2.87-2.96

Computed properties:
E above lowest polymorph = 0.000 eV/atom
Energy = -2.566 eV per atom